First-principles (PBE-GGA) data for a geometry-optimized LaBeMo structure, as listed in Alexandria.

Output
DOS at the Fermi energy	13.17	states/eV/cell
symmetry	F-43m
spin magnetization	0.82	μB per formula unit
total DFT energy (no corrections)	-17.1	eV/f.u.
formation energy	784	meV/atom

The structure in POSCAR format:
```
LaBeMo
1.0
6.273 0.000 0.000
0.000 6.273 0.000
0.000 0.000 6.273
La Be Mo
4 4 4
direct
0.000 0.000 0.000
0.000 0.500 0.500
0.500 0.000 0.500
0.500 0.500 0.000
0.250 0.250 0.250
0.250 0.750 0.750
0.750 0.250 0.750
0.750 0.750 0.250
0.000 0.000 0.500
0.000 0.500 0.000
0.500 0.000 0.000
0.500 0.500 0.500
```